No. 1
PBE-GGA Ta5Mn4Pd, relaxed; total DFT energy (no corrections) = -10.334 eV per atom; space group = P4/mmm, No. 123; magnetization = 0.0 Bohr magnetons per cell
1.0
3.0315 0.0000 0.0000
0.0000 3.0315 0.0000
0.0000 0.0000 16.1767
Ta Mn Pd
5 4 1
Direct
0.0000 0.0000 0.0000
0.0000 0.0000 0.1903
0.0000 0.0000 0.3808
0.0000 0.0000 0.6192
0.0000 0.0000 0.8097
0.5000 0.5000 0.0950
0.5000 0.5000 0.2855
0.5000 0.5000 0.7145
0.5000 0.5000 0.9050
0.5000 0.5000 0.5000


No. 2
PBE-GGA CeDyErMg, relaxed; total DFT energy (no corrections) = -4.087 eV per atom; space group = F-43m, No. 216; magnetization = 1.4 Bohr magnetons per cell
1.0
0.0000 3.8784 3.8784
3.8784 0.0000 3.8784
3.8784 3.8784 0.0000
Ce Dy Er Mg
1 1 1 1
Direct
0.0000 0.0000 0.0000
0.5000 0.5000 0.5000
0.2500 0.2500 0.2500
0.7500 0.7500 0.7500


No. 3
PBE-GGA CdIrOs2, relaxed; total DFT energy (no corrections) = -7.785 eV per atom; space group = R3m, No. 160; magnetization = 0.0 Bohr magnetons per cell
1.0
1.3944 0.8050 9.2911
-1.3944 0.8050 9.2911
0.0000 -1.6101 9.2911
Cd Ir Os
1 1 2
Direct
0.0000 0.0000 0.0000
0.2446 0.2446 0.2446
0.4998 0.4998 0.4998
0.7575 0.7575 0.7575


No. 4
PBE-GGA Pa3Sn5Se12, relaxed; raw formation energy = -13.335 eV/f.u.; space group = Ia-3d, No. 230; magnetization = 6.8 Bohr magnetons per cell
1.0
-8.4260 8.4260 8.4260
8.4260 -8.4260 8.4260
8.4260 8.4260 -8.4260
Pa Sn Se
12 20 48
Direct
0.1250 0.2500 0.3750
0.1250 0.3750 0.7500
0.2500 0.3750 0.1250
0.2500 0.8750 0.6250
0.3750 0.1250 0.2500
0.3750 0.7500 0.1250
0.6250 0.2500 0.8750
0.6250 0.8750 0.7500
0.7500 0.1250 0.3750
0.7500 0.6250 0.8750
0.8750 0.6250 0.2500
0.8750 0.7500 0.6250
0.0000 0.0000 0.0000
0.0000 0.0000 0.5000
0.0000 0.5000 0.0000
0.0000 0.5000 0.5000
0.1250 0.7500 0.8750
0.1250 0.8750 0.2500
0.2500 0.1250 0.8750
0.2500 0.6250 0.3750
0.3750 0.2500 0.6250
0.3750 0.6250 0.7500
0.5000 0.0000 0.0000
0.5000 0.0000 0.5000
0.5000 0.5000 0.0000
0.5000 0.5000 0.5000
0.6250 0.3750 0.2500
0.6250 0.7500 0.3750
0.7500 0.3750 0.6250
0.7500 0.8750 0.1250
0.8750 0.1250 0.7500
0.8750 0.2500 0.1250
0.0582 0.2266 0.1428
0.0582 0.3317 0.9154
0.0838 0.7266 0.6683
0.0838 0.8572 0.4154
0.0846 0.6428 0.4162
0.0846 0.9418 0.6683
0.1428 0.0582 0.2266
0.1428 0.5846 0.9162
0.1683 0.2266 0.5838
0.1683 0.4418 0.5846
0.2266 0.1428 0.0582
0.2266 0.5838 0.1683
0.2734 0.3317 0.9162
0.2734 0.4418 0.3572
0.3317 0.9154 0.0582
0.3317 0.9162 0.2734
0.3572 0.2734 0.4418
0.3572 0.5838 0.9154
0.4154 0.0838 0.8572
0.4154 0.8317 0.5582
0.4162 0.0846 0.6428
0.4162 0.8317 0.7734
0.4418 0.3572 0.2734
0.4418 0.5846 0.1683
0.5582 0.4154 0.8317
0.5582 0.6428 0.7266
0.5838 0.1683 0.2266
0.5838 0.9154 0.3572
0.5846 0.1683 0.4418
0.5846 0.9162 0.1428
0.6428 0.4162 0.0846
0.6428 0.7266 0.5582
0.6683 0.0838 0.7266
0.6683 0.0846 0.9418
0.7266 0.5582 0.6428
0.7266 0.6683 0.0838
0.7734 0.4162 0.8317
0.7734 0.8572 0.9418
0.8317 0.5582 0.4154
0.8317 0.7734 0.4162
0.8572 0.4154 0.0838
0.8572 0.9418 0.7734
0.9154 0.0582 0.3317
0.9154 0.3572 0.5838
0.9162 0.1428 0.5846
0.9162 0.2734 0.3317
0.9418 0.6683 0.0846
0.9418 0.7734 0.8572


No. 5
PBE-GGA DyPuInHg, relaxed; space group = F-43m, No. 216; magnetization = 6.3 Bohr magnetons per cell; energy above the lowest structure with this stoichiometry = 0.0169 eV/atom
1.0
0.0000 3.7687 3.7687
3.7687 0.0000 3.7687
3.7687 3.7687 0.0000
Dy Pu In Hg
1 1 1 1
Direct
0.0000 0.0000 0.0000
0.5000 0.5000 0.5000
0.2500 0.2500 0.2500
0.7500 0.7500 0.7500


No. 6
PBE-GGA PmDyTmAl, relaxed; space group = P4mm, No. 99; magnetization = 0.0 Bohr magnetons per cell; energy above the lowest structure with this stoichiometry = 0.0000 eV/atom
1.0
3.5151 0.0000 0.0000
0.0000 3.5151 0.0000
0.0000 0.0000 9.0363
Pm Dy Tm Al
1 1 1 1
Direct
0.0000 0.0000 0.0000
0.5000 0.5000 0.7064
0.5000 0.5000 0.2865
0.0000 0.0000 0.4934


No. 7
PBE-GGA Tb16Pr7Ho6, relaxed; total DFT energy (no corrections) = -4.396 eV per atom; space group = Fm-3m, No. 225; magnetization = 0.0 Bohr magnetons per cell
1.0
0.0000 7.9630 7.9630
7.9630 0.0000 7.9630
7.9630 7.9630 0.0000
Tb Pr Ho
16 7 6
Direct
0.0487 0.6504 0.6504
0.1278 0.1278 0.1278
0.1278 0.1278 0.6167
0.1278 0.6167 0.1278
0.3496 0.3496 0.3496
0.3496 0.3496 0.9513
0.3496 0.9513 0.3496
0.3833 0.8722 0.8722
0.6167 0.1278 0.1278
0.6504 0.0487 0.6504
0.6504 0.6504 0.0487
0.6504 0.6504 0.6504
0.8722 0.3833 0.8722
0.8722 0.8722 0.3833
0.8722 0.8722 0.8722
0.9513 0.3496 0.3496
0.0000 0.0000 0.0000
0.0000 0.0000 0.5000
0.0000 0.5000 0.0000
0.0000 0.5000 0.5000
0.5000 0.0000 0.0000
0.5000 0.0000 0.5000
0.5000 0.5000 0.0000
0.2606 0.2606 0.7394
0.2606 0.7394 0.2606
0.2606 0.7394 0.7394
0.7394 0.2606 0.2606
0.7394 0.2606 0.7394
0.7394 0.7394 0.2606


No. 8
PBE-GGA Tl3ReC, relaxed; space group = Pm-3m, No. 221; magnetization = 3.3 Bohr magnetons per cell; energy above the lowest structure with this stoichiometry = 0.0000 eV/atom
1.0
4.8539 0.0000 0.0000
0.0000 4.8539 0.0000
0.0000 0.0000 4.8539
Tl Re C
3 1 1
Direct
0.0000 0.0000 0.5000
0.0000 0.5000 0.0000
0.5000 0.0000 0.0000
0.5000 0.5000 0.5000
0.0000 0.0000 0.0000


No. 9
PBE-GGA IrAuBr2, relaxed; raw formation energy = 0.450 eV/f.u.; space group = R3m, No. 160; magnetization = 0.0 Bohr magnetons per cell; energy above the lowest structure with this stoichiometry = 0.0000 eV/atom
1.0
1.8723 1.0810 7.9311
-1.8723 1.0810 7.9311
0.0000 -2.1620 7.9311
Ir Au Br
1 1 2
Direct
0.0000 0.0000 0.0000
0.7323 0.7323 0.7323
0.2809 0.2809 0.2809
0.4704 0.4704 0.4704


No. 10
PBE-GGA ThAl2Zn2Au2, relaxed; total DFT energy (no corrections) = -3.828 eV per atom; space group = R-3m, No. 166; magnetization = 0.0 Bohr magnetons per cell
1.0
2.2091 1.2754 8.3287
-2.2091 1.2754 8.3287
0.0000 -2.5508 8.3287
Th Al Zn Au
1 2 2 2
Direct
0.0000 0.0000 0.0000
0.2433 0.2433 0.2433
0.7567 0.7567 0.7567
0.1381 0.1381 0.1381
0.8619 0.8619 0.8619
0.4084 0.4084 0.4084
0.5916 0.5916 0.5916


No. 11
PBE-GGA AcTl15In4, relaxed; total DFT energy (no corrections) = -2.560 eV per atom; space group = P4/mmm, No. 123; magnetization = 0.0 Bohr magnetons per cell
1.0
5.5409 0.0000 0.0000
0.0000 5.5409 0.0000
0.0000 0.0000 19.7152
Ac Tl In
1 15 4
Direct
0.0000 0.0000 0.0000
0.0000 0.5000 0.1087
0.0000 0.5000 0.3014
0.0000 0.5000 0.5000
0.0000 0.5000 0.6986
0.0000 0.5000 0.8913
0.5000 0.0000 0.1087
0.5000 0.0000 0.3014
0.5000 0.0000 0.5000
0.5000 0.0000 0.6986
0.5000 0.0000 0.8913
0.5000 0.5000 0.0000
0.5000 0.5000 0.2060
0.5000 0.5000 0.3998
0.5000 0.5000 0.6002
0.5000 0.5000 0.7940
0.0000 0.0000 0.2001
0.0000 0.0000 0.4032
0.0000 0.0000 0.5968
0.0000 0.0000 0.7999


No. 12
PBE-GGA OsCNF2, relaxed; raw formation energy = 5.452 eV/f.u.; space group = P4/mmm, No. 123; magnetization = 1.9 Bohr magnetons per cell; energy above the lowest structure with this stoichiometry = 0.4702 eV/atom
1.0
4.1294 0.0000 0.0000
0.0000 4.1294 0.0000
0.0000 0.0000 3.7473
Os C N F
1 1 1 2
Direct
0.0000 0.0000 0.0000
0.5000 0.5000 0.5000
0.0000 0.0000 0.5000
0.0000 0.5000 0.0000
0.5000 0.0000 0.0000


No. 13
PBE-GGA La5Sn4O, relaxed; raw formation energy = -9.967 eV/f.u.; space group = I4, No. 79; magnetization = 0.0 Bohr magnetons per cell
1.0
-4.9058 4.9058 3.2516
4.9058 -4.9058 3.2516
4.9058 4.9058 -3.2516
La Sn O
5 4 1
Direct
0.0000 0.0000 0.0000
0.3085 0.6626 0.8463
0.4622 0.3085 0.6459
0.6626 0.8163 0.3541
0.8163 0.4622 0.1537
0.1420 0.3861 0.3927
0.3861 0.9934 0.2441
0.7493 0.1420 0.7559
0.9934 0.7493 0.6073
0.6387 0.6387 0.0000


No. 14
PBE-GGA ZrCd3Cu8, relaxed; total DFT energy (no corrections) = -3.735 eV per atom; space group = R3m, No. 160; magnetization = 0.0 Bohr magnetons per cell
1.0
2.5070 1.4474 8.2144
-2.5070 1.4474 8.2144
0.0000 -2.8949 8.2144
Zr Cd Cu
1 3 8
Direct
0.0000 0.0000 0.0000
0.1245 0.1245 0.1245
0.4981 0.4981 0.4981
0.6230 0.6230 0.6230
0.0597 0.5613 0.5613
0.0617 0.0617 0.5632
0.0617 0.5632 0.0617
0.3111 0.3111 0.3111
0.5613 0.0597 0.5613
0.5613 0.5613 0.0597
0.5632 0.0617 0.0617
0.8116 0.8116 0.8116


No. 15
PBE-GGA KS2O7, relaxed; raw formation energy = -7.724 eV/f.u.; space group = Cmmm, No. 65; magnetization = 1.5 Bohr magnetons per cell
1.0
2.5992 -10.4939 0.0000
2.5992 10.4939 0.0000
0.0000 0.0000 2.8615
K S O
1 2 7
Direct
0.0000 0.0000 0.0000
0.3481 0.6519 0.5000
0.6519 0.3481 0.5000
0.1416 0.3783 0.5000
0.3009 0.6991 0.0000
0.3783 0.1416 0.5000
0.5000 0.5000 0.5000
0.6217 0.8584 0.5000
0.6991 0.3009 0.0000
0.8584 0.6217 0.5000


No. 16
PBE-GGA NaPmCl2O, relaxed; raw formation energy = -12.650 eV/f.u.; space group = P4/nmm, No. 129; magnetization = 0.0 Bohr magnetons per cell
1.0
3.9561 0.0000 0.0000
0.0000 3.9561 0.0000
0.0000 0.0000 13.6697
Na Pm Cl O
2 2 4 2
Direct
0.2500 0.2500 0.0986
0.7500 0.7500 0.9014
0.2500 0.2500 0.5878
0.7500 0.7500 0.4122
0.2500 0.2500 0.3083
0.2500 0.2500 0.8913
0.7500 0.7500 0.1087
0.7500 0.7500 0.6917
0.2500 0.7500 0.5000
0.7500 0.2500 0.5000


No. 17
PBE-GGA BaCdC, relaxed; space group = P1, No. 1; magnetization = 0.0 Bohr magnetons per cell; energy above the lowest structure with this stoichiometry = 0.6633 eV/atom
1.0
4.2198 0.0000 0.0000
-0.0457 6.1946 0.0000
-2.0556 -1.8058 6.2613
Ba Cd C
2 2 2
Direct
0.0000 0.0000 0.0000
0.1643 0.6561 0.3450
0.4002 0.4602 0.8077
0.7252 0.1475 0.4609
0.2349 0.2254 0.4790
0.5376 0.7334 0.0855


No. 18
PBE-GGA Pm4Si2Ni, relaxed; raw formation energy = -1.611 eV/f.u.; space group = I4/mmm, No. 139; magnetization = 0.0 Bohr magnetons per cell
1.0
-2.4532 2.4532 8.0608
2.4532 -2.4532 8.0608
2.4532 2.4532 -8.0608
Pm Si Ni
4 2 1
Direct
0.0000 0.5000 0.5000
0.1841 0.1841 0.0000
0.5000 0.0000 0.5000
0.8159 0.8159 0.0000
0.3666 0.3666 0.0000
0.6334 0.6334 0.0000
0.0000 0.0000 0.0000


No. 19
PBE-GGA Sr2TlAg3Sb4, relaxed; raw formation energy = -3.513 eV/f.u.; space group = P-4m2, No. 115; magnetization = 0.0 Bohr magnetons per cell
1.0
4.9361 0.0000 0.0000
0.0000 4.9361 0.0000
0.0000 0.0000 11.7968
Sr Tl Ag Sb
2 1 3 4
Direct
0.0000 0.5000 0.2330
0.5000 0.0000 0.7670
0.0000 0.0000 0.5000
0.0000 0.5000 0.8730
0.5000 0.0000 0.1270
0.5000 0.5000 0.5000
0.0000 0.0000 0.0000
0.0000 0.5000 0.6434
0.5000 0.0000 0.3566
0.5000 0.5000 0.0000


No. 20
PBE-GGA Ce4CoHg2, relaxed; space group = I4/mmm, No. 139; magnetization = 2.1 Bohr magnetons per cell; energy above the lowest structure with this stoichiometry = 0.0000 eV/atom
1.0
-2.4791 2.4791 8.0815
2.4791 -2.4791 8.0815
2.4791 2.4791 -8.0815
Ce Co Hg
4 1 2
Direct
0.0000 0.5000 0.5000
0.1792 0.1792 0.0000
0.5000 0.0000 0.5000
0.8208 0.8208 0.0000
0.0000 0.0000 0.0000
0.3674 0.3674 0.0000
0.6326 0.6326 0.0000